# 1
Below is TbPm2H after structural relaxation, with properties calculated at the PBE-GGA level.

Cell: 3.6731 3.6731 26.1201 Å, 90.00 90.00 120.00°
Space group R-3m (No. 166, hexagonal axes)
Unique sites:
Tb (0.0000, 0.0000, 0.0000) x3
Pm (0.0000, 0.0000, 0.2218) x6
H (0.0000, 0.0000, 0.5000) x3

Computed properties:
Crystal system ... trigonal
VASP energy ... -4.53 eV/atom

=====

# 2
Below is Tb2PmH after structural relaxation, with properties calculated at the PBE-GGA level.

Cell: 3.3783 3.3783 8.5912 Å, 90.00 90.00 90.00°
Space group P4/mmm (No. 123)
Unique sites:
Tb (0.0000, 0.0000, 0.1887) x2
Pm (0.5000, 0.5000, 0.5000) x1
H (0.5000, 0.5000, 0.0000) x1

Computed properties:
Crystal system ... tetragonal
VASP energy ... -4.22 eV/atom

=====

# 3
Below is Tb4Pm2Tl3H2 after structural relaxation, with properties calculated at the PBE-GGA level.

Cell: 4.8035 4.8035 24.7395 Å, 90.00 90.00 90.00°
Space group I4/mmm (No. 139)
Unique sites:
Tb (0.0000, 0.5000, 0.0832) x8
Pm (0.0000, 0.0000, 0.1974) x4
Tl (0.0000, 0.0000, 0.3281) x4
Tl (0.0000, 0.0000, 0.5000) x2
H (0.0000, 0.0000, 0.0998) x4

Computed properties:
Crystal system ... tetragonal
VASP energy ... -4.11 eV/atom

=====

# 4
Below is PmTcH4 after structural relaxation, with properties calculated at the PBE-GGA level.

Cell: 6.2514 10.6527 4.5062 Å, 90.00 124.36 90.00°
Space group C2/c (No. 15)
Unique sites:
Pm (0.0000, 0.1362, 0.2500) x4
Tc (0.0000, 0.4268, 0.7500) x4
H (0.1363, 0.2940, 0.6943) x8
H (0.2290, 0.4657, 0.2188) x8

Computed properties:
Crystal system ... monoclinic
VASP energy ... -4.98 eV/atom

=====

# 5
Below is PmTcH5 after structural relaxation, with properties calculated at the PBE-GGA level.

Cell: 5.4178 7.0791 3.8513 Å, 90.00 90.00 90.00°
Space group Imm2 (No. 44)
Unique sites:
Pm (0.0000, 0.0000, 0.0000) x2
Tc (0.0000, 0.5000, 0.9692) x2
H (0.0000, 0.2911, 0.7664) x4
H (0.0000, 0.5000, 0.4841) x2
H (0.1851, 0.0000, 0.4955) x4

Computed properties:
Crystal system ... orthorhombic
VASP energy ... -4.63 eV/atom

=====

# 6
Below is Pm2TcH after structural relaxation, with properties calculated at the PBE-GGA level.

Cell: 3.3901 3.3901 7.0955 Å, 90.00 90.00 90.00°
Space group P4/mmm (No. 123)
Unique sites:
Pm (0.0000, 0.0000, 0.2441) x2
Tc (0.5000, 0.5000, 0.0000) x1
H (0.5000, 0.5000, 0.5000) x1

Computed properties:
Crystal system ... tetragonal
VASP energy ... -5.76 eV/atom